Material: TiIN2O
Method: DFT, GGA-PBEsol
State: optimized geometry

## Properties
* formation energy without anion corrections: 1019 meV/atom

Structure (CIF):
```
data_TiIN2O
_cell_length_a 4.0844
_cell_length_b 4.0844
_cell_length_c 3.9281
_cell_angle_alpha 90.00
_cell_angle_beta 90.00
_cell_angle_gamma 90.00
_symmetry_space_group_name_H-M 'P 4/m m m'
_symmetry_Int_Tables_number 123
_symmetry_space_group_name_Hall '-P 4 2'
loop_
_atom_site_label
_atom_site_type_symbol
_atom_site_fract_x
_atom_site_fract_y
_atom_site_fract_z
Ti1 Ti 0.0000 0.0000 0.0000
I1 I 0.5000 0.5000 0.5000
N1 N 0.0000 0.5000 0.5000
O1 O 0.5000 0.5000 0.0000
```